[1]
DFT (PBE) results for a relaxed Rb2GaCI6 crystal.

a b c (Å): 7.964 7.964 7.966
angles (deg): 60.01 60.01 90.00
Fractional positions:
I 0.260 0.260 0.480
I 0.740 0.740 0.520
I 0.260 0.260 0.000
I 0.740 0.740 0.000
I 0.740 0.260 0.000
I 0.260 0.740 0.000
C 0.500 0.500 0.000
Ga 0.000 0.000 0.000
Rb 0.750 0.250 0.500
Rb 0.250 0.750 0.500

Results
- Raw formation energy: -206 meV/atom

[2]
DFT (PBE) results for a relaxed GaRu2CI crystal.

a b c (Å): 4.024 6.524 4.024
angles (deg): 90.00 90.00 90.00
Site moments in Bohr magnetons follow the coordinates.
Fractional positions:
I 0.000 0.500 0.000  0.07
Ru 0.000 0.000 0.500  1.43
Ru 0.500 0.000 0.000  1.36
C 0.000 0.000 0.000  -0.09
Ga 0.500 0.500 0.500  0.00

Results
- Raw formation energy: 1041 meV/atom

[3]
DFT (PBE) results for a relaxed GaC2SI crystal.

a b c (Å): 3.958 5.895 3.958
angles (deg): 90.00 90.00 90.00
Site moments in Bohr magnetons follow the coordinates.
Fractional positions:
I 0.500 0.500 0.500  0.05
S 0.000 0.000 0.000  -0.02
C 0.000 0.000 0.500  0.23
C 0.500 0.000 0.000  0.35
Ga 0.000 0.500 0.000  -0.02

Results
- Raw formation energy: 2009 meV/atom

[4]
DFT (PBE) results for a relaxed GaSb2CI crystal.

a b c (Å): 5.381 5.381 5.529
angles (deg): 90.00 90.00 90.00
Site moments in Bohr magnetons follow the coordinates.
Fractional positions:
I 0.000 0.000 0.500  0.02
Sb 0.000 0.500 0.000  -0.15
Sb 0.500 0.000 0.000  -0.15
C 0.500 0.500 0.500  0.90
Ga 0.000 0.000 0.000  0.01

Results
- Energy above the lowest structure with this stoichiometry: 805 meV per atom
- Raw formation energy: 1811 meV/atom

[5]
DFT (PBE) results for a relaxed GaSb2CI crystal.

a b c (Å): 4.825 4.825 5.142
angles (deg): 90.00 90.00 90.00
Fractional positions:
I 0.000 0.000 0.500
Sb 0.000 0.500 0.000
Sb 0.500 0.000 0.000
C 0.000 0.000 0.000
Ga 0.500 0.500 0.500

Results
- Energy above the lowest structure with this stoichiometry: 0 meV per atom
- Raw formation energy: 1007 meV/atom

[6]
DFT (PBE) results for a relaxed GaSnC2I crystal.

a b c (Å): 4.206 6.137 4.206
angles (deg): 90.00 90.00 90.00
Site moments in Bohr magnetons follow the coordinates.
Fractional positions:
I 0.500 0.500 0.500  0.06
C 0.000 0.000 0.500  0.42
C 0.500 0.000 0.000  0.49
Sn 0.000 0.500 0.000  -0.06
Ga 0.000 0.000 0.000  -0.01

Results
- Raw formation energy: 1918 meV/atom

[7]
DFT (PBE) results for a relaxed GaTeCI2 crystal.

a b c (Å): 5.293 5.293 4.760
angles (deg): 90.00 90.00 90.00
Fractional positions:
I 0.000 0.500 0.000
I 0.500 0.000 0.000
C 0.000 0.000 0.000
Te 0.000 0.000 0.500
Ga 0.500 0.500 0.500

Results
- Energy above the lowest structure with this stoichiometry: 0 meV per atom
- Raw formation energy: 917 meV/atom

[8]
DFT (PBE) results for a relaxed GaTeCI2 crystal.

a b c (Å): 5.607 5.607 5.524
angles (deg): 90.00 90.00 90.00
Site moments in Bohr magnetons follow the coordinates.
Fractional positions:
I 0.000 0.500 0.000  -0.06
I 0.500 0.000 0.000  -0.06
C 0.500 0.500 0.500  0.91
Te 0.000 0.000 0.500  -0.42
Ga 0.000 0.000 0.000  0.02

Results
- Energy above the lowest structure with this stoichiometry: 630 meV per atom
- Raw formation energy: 1547 meV/atom

[9]
DFT (PBE) results for a relaxed InGa3C crystal.

a b c (Å): 4.452 4.452 4.452
angles (deg): 90.00 90.00 90.00
Fractional positions:
C 0.000 0.000 0.000
Ga 0.000 0.500 0.000
Ga 0.000 0.000 0.500
Ga 0.500 0.000 0.000
In 0.500 0.500 0.500

Results
- Energy above the lowest structure with this stoichiometry: 0 meV per atom
- Formation energy from the elements: 316 kJ/mol of formula units

[10]
DFT (PBE) results for a relaxed InGaC3 crystal.

a b c (Å): 4.373 4.373 4.373
angles (deg): 90.00 90.00 90.00
Fractional positions:
C 0.000 0.500 0.000
C 0.000 0.000 0.500
C 0.500 0.000 0.000
Ga 0.500 0.500 0.500
In 0.000 0.000 0.000

Results
- Energy above the lowest structure with this stoichiometry: 585 meV per atom
- Formation energy from the elements: 1494 kJ/mol of formula units

[11]
DFT (PBE) results for a relaxed InGaC2 crystal.

a b c (Å): 4.174 4.174 4.174
angles (deg): 60.00 60.00 60.00
Fractional positions:
C 0.250 0.250 0.250
C 0.750 0.750 0.750
Ga 0.000 0.000 0.000
In 0.500 0.500 0.500

Results
- Energy above the lowest structure with this stoichiometry: 842 meV per atom
- Formation energy from the elements: 791 kJ/mol of formula units

[12]
DFT (PBE) results for a relaxed InGaC2 crystal.

a b c (Å): 4.952 4.952 6.009
angles (deg): 65.67 65.67 90.00
Fractional positions:
C 0.588 0.125 0.250
C 0.162 0.625 0.250
C 0.375 0.412 0.750
C 0.875 0.838 0.750
Ga 0.500 0.500 0.000
Ga 0.250 0.750 0.500
In 0.000 0.000 0.000
In 0.750 0.250 0.500

Results
- Energy above the lowest structure with this stoichiometry: 0 meV per atom
- Formation energy from the elements: 466 kJ/mol of formula units

Calculated density: 4.712, 6.456, 4.545, 4.690, 6.272, 5.190, 5.767, 4.428, 6.322, 4.378, 6.735, 5.784 (g cm⁻³)
Size of the total moment: 0.00, 3.05, 1.18, 1.22, 0.00, 1.77, 0.00, 0.97, 0.00, 0.00, 0.00, 0.00 (μB per cell)